{
  "formula": "SmEr8Tm4",
  "functional": "PBE",
  "state": "relaxed",
  "lattice_angstrom": [[-6.7141, -2.2864, 1.2437], [4.2167, -3.5595, -4.6263], [6.0561, -2.4264, 7.3868]],
  "species": ["Er", "Tm", "Er", "Tm", "Er", "Er", "Er", "Tm", "Er", "Er", "Sm", "Tm", "Er"],
  "fractional_positions": [[0.4988, 0.2494, 0.3034], [0.0000, 0.0000, 0.0000], [0.0540, 0.2494, 0.3034], [0.0000, 0.5000, 0.0000], [0.0540, 0.8046, 0.3034], [0.9460, 0.1954, 0.6966], [0.5012, 0.7506, 0.6966], [0.5000, 0.0000, 0.0000], [0.5643, 0.7821, 0.3464], [0.4357, 0.2179, 0.6536], [0.0000, 0.5000, 0.5000], [0.5000, 0.5000, 0.0000], [0.9460, 0.7506, 0.6966]],
  "magmom_total_mub_per_atom": 0.00,
  "n_ef_per_ev_atom": 1.225,
  "ef_ev_per_atom": 0.217
}


{
  "formula": "Sm5Er2Tm12",
  "functional": "PBE",
  "state": "relaxed",
  "lattice_angstrom": [[-8.2011, 1.3551, -3.9751], [3.3587, -8.2750, 0.9283], [-3.7662, -0.3823, 7.6397]],
  "species": ["Sm", "Er", "Er", "Tm", "Tm", "Tm", "Tm", "Sm", "Tm", "Sm", "Tm", "Tm", "Tm", "Tm", "Tm", "Tm", "Sm", "Tm", "Sm"],
  "fractional_positions": [[0.2934, 0.5867, 0.9828], [0.3260, 0.0000, 0.0000], [0.6740, 0.0000, 0.0000], [0.9256, 0.8512, 0.1253], [0.8192, 0.2587, 0.6673], [0.9691, 0.2961, 0.2400], [0.4438, 0.8876, 0.6659], [0.0000, 0.0000, 0.5000], [0.0309, 0.7039, 0.7600], [0.7066, 0.4133, 0.0172], [0.6730, 0.7039, 0.7600], [0.3270, 0.2961, 0.2400], [0.4396, 0.2587, 0.6673], [0.5562, 0.1124, 0.3341], [0.1808, 0.7413, 0.3327], [0.5604, 0.7413, 0.3327], [0.7691, 0.5382, 0.4286], [0.0744, 0.1488, 0.8747], [0.2309, 0.4618, 0.5714]],
  "de_polymorph_kj_per_mol_fu": 176.7,
  "magmom_total_mub_per_atom": 0.00,
  "n_ef_per_ev_atom": 1.274,
  "ef_ev_per_atom": 0.120
}


{
  "formula": "SmEr2Tm4",
  "functional": "PBE",
  "state": "relaxed",
  "lattice_angstrom": [[-7.4569, -2.9160, 2.3853], [4.9249, -4.1978, 7.2854], [-3.0631, 8.5347, -3.6233]],
  "species": ["Tm", "Sm", "Er", "Tm", "Tm", "Tm", "Er", "Sm", "Tm", "Tm", "Tm", "Er", "Er", "Tm"],
  "fractional_positions": [[0.9766, 0.1620, 0.2604], [0.1979, 0.8636, 0.8789], [0.1251, 0.4908, 0.8660], [0.4155, 0.5360, 0.4879], [0.9117, 0.8587, 0.3115], [0.8346, 0.8254, 0.6238], [0.5558, 0.8139, 0.0494], [0.0526, 0.4359, 0.1706], [0.4807, 0.6403, 0.2366], [0.3382, 0.1443, 0.4424], [0.7694, 0.4989, 0.6520], [0.6938, 0.2509, 0.7654], [0.6248, 0.1886, 0.0636], [0.2734, 0.0406, 0.6916]],
  "de_polymorph_kj_per_mol_fu": 27.9,
  "magmom_total_mub_per_atom": 0.00,
  "n_ef_per_ev_atom": 1.590,
  "ef_ev_per_atom": 0.079
}


{
  "formula": "Sm2ErTm",
  "functional": "PBE",
  "state": "relaxed",
  "lattice_angstrom": [[3.5843, 0.0000, 0.0000], [1.7921, 3.1041, 0.0000], [1.7921, 1.0347, 11.5140]],
  "species": ["Tm", "Sm", "Er", "Sm"],
  "fractional_positions": [[0.4999, 0.4999, 0.5002], [0.2493, 0.2493, 0.2521], [0.6670, 0.6670, 0.9991], [0.0838, 0.0838, 0.7486]],
  "de_polymorph_kj_per_mol_fu": 0.9,
  "magmom_total_mub_per_atom": 0.00,
  "n_ef_per_ev_atom": 1.461,
  "ef_ev_per_atom": 0.017
}


{
  "formula": "Sm2Er3Tm2",
  "functional": "PBE",
  "state": "relaxed",
  "lattice_angstrom": [[5.0010, 0.0000, 0.0000], [-2.5005, 5.5436, 0.6030], [0.0000, -1.9641, 7.6592]],
  "species": ["Er", "Er", "Tm", "Sm", "Sm", "Er", "Tm"],
  "fractional_positions": [[0.6430, 0.2861, 0.4284], [0.5000, 0.0000, 0.0000], [0.7861, 0.5722, 0.8572], [0.9283, 0.8566, 0.2843], [0.0717, 0.1434, 0.7157], [0.3570, 0.7139, 0.5716], [0.2139, 0.4278, 0.1428]],
  "de_polymorph_kj_per_mol_fu": 0.0,
  "magmom_total_mub_per_atom": 0.00,
  "n_ef_per_ev_atom": 1.337,
  "ef_ev_per_atom": 0.022
}


{
  "formula": "Sm7Er4Tm",
  "functional": "PBE",
  "state": "relaxed",
  "lattice_angstrom": [[6.9131, 1.8509, 0.8934], [5.1543, 7.6394, 2.4643], [-1.0218, -0.4329, 8.8160]],
  "species": ["Er", "Sm", "Sm", "Sm", "Er", "Er", "Er", "Sm", "Tm", "Sm", "Sm", "Sm"],
  "fractional_positions": [[0.5293, 0.7222, 0.3327], [0.7793, 0.2207, 0.3344], [0.2486, 0.4991, 0.9988], [0.2207, 0.7793, 0.6656], [0.4707, 0.2778, 0.6673], [0.2796, 0.2202, 0.3351], [0.7204, 0.7798, 0.6649], [0.7514, 0.5009, 0.0012], [0.0000, 0.0000, 0.0000], [0.0299, 0.7197, 0.3345], [0.5000, 0.0000, 0.0000], [0.9701, 0.2803, 0.6655]],
  "magmom_total_mub_per_atom": 0.00,
  "n_ef_per_ev_atom": 1.333,
  "ef_ev_per_atom": 0.004
}


{
  "formula": "Sm5Er3Tm2",
  "functional": "PBE",
  "state": "relaxed",
  "lattice_angstrom": [[-4.9055, -1.3460, -8.2372], [8.6146, -4.4516, 0.0980], [-5.1175, -3.3502, 7.0338]],
  "species": ["Er", "Sm", "Sm", "Sm", "Sm", "Sm", "Sm", "Er", "Er", "Er", "Sm", "Er", "Sm", "Sm", "Tm", "Tm", "Er", "Tm", "Sm", "Tm"],
  "fractional_positions": [[0.2167, 0.7676, 0.2456], [0.3970, 0.1212, 0.7715], [0.2237, 0.4737, 0.9474], [0.1255, 0.3497, 0.2285], [0.9820, 0.7320, 0.4639], [0.6030, 0.8788, 0.2285], [0.8745, 0.6503, 0.7715], [0.7833, 0.2324, 0.7544], [0.7194, 0.9694, 0.9388], [0.2806, 0.0306, 0.0612], [0.5212, 0.7712, 0.5425], [0.5290, 0.4780, 0.2456], [0.0180, 0.2680, 0.5361], [0.7763, 0.5263, 0.0526], [0.7250, 0.2748, 0.2368], [0.2750, 0.7252, 0.7632], [0.4710, 0.5220, 0.7544], [0.9882, 0.0380, 0.7632], [0.4788, 0.2288, 0.4575], [0.0118, 0.9620, 0.2368]],
  "de_polymorph_kj_per_mol_fu": 0.0,
  "magmom_total_mub_per_atom": 0.00,
  "n_ef_per_ev_atom": 1.731,
  "ef_ev_per_atom": 0.191
}


{
  "formula": "Sm5ErTm",
  "functional": "PBE",
  "state": "relaxed",
  "lattice_angstrom": [[6.1696, 0.0000, 0.0000], [0.0000, 8.0377, 0.0000], [-3.0848, -4.0189, 5.8971]],
  "species": ["Sm", "Sm", "Sm", "Er", "Sm", "Sm", "Tm"],
  "fractional_positions": [[0.1889, 0.2532, 0.5064], [0.4331, 0.8219, 0.0000], [0.4331, 0.1781, 0.0000], [0.9314, 0.0000, 0.0000], [0.1678, 0.5000, 0.0000], [0.6825, 0.7468, 0.4936], [0.6939, 0.5000, 0.0000]],
  "de_polymorph_kj_per_mol_fu": 482.3,
  "magmom_total_mub_per_atom": 0.00,
  "n_ef_per_ev_atom": 1.367,
  "ef_ev_per_atom": 0.910
}


{
  "formula": "Sm3Er6Tm2",
  "functional": "PBE",
  "state": "relaxed",
  "lattice_angstrom": [[4.7096, 0.0000, 0.0000], [0.0000, 4.7096, 0.0000], [-2.3548, -2.3548, 16.4962]],
  "species": ["Er", "Er", "Tm", "Sm", "Sm", "Tm", "Er", "Er", "Sm", "Er", "Er"],
  "fractional_positions": [[0.8795, 0.3795, 0.7590], [0.6205, 0.1205, 0.2410], [0.4538, 0.4538, 0.9075], [0.2021, 0.2021, 0.4042], [0.7979, 0.7979, 0.5958], [0.5462, 0.5462, 0.0925], [0.3795, 0.8795, 0.7590], [0.6938, 0.6938, 0.3876], [0.0000, 0.0000, 0.0000], [0.3062, 0.3062, 0.6124], [0.1205, 0.6205, 0.2410]],
  "de_polymorph_kj_per_mol_fu": 0.0,
  "magmom_total_mub_per_atom": 0.00,
  "n_ef_per_ev_atom": 1.632,
  "ef_ev_per_atom": 0.284
}


{
  "formula": "Sm4ErTm4",
  "functional": "PBE",
  "state": "relaxed",
  "lattice_angstrom": [[5.0120, 0.0000, 0.0000], [2.5060, 7.5440, 0.0000], [2.5060, 0.0000, 7.5440]],
  "species": ["Tm", "Tm", "Sm", "Tm", "Sm", "Sm", "Sm", "Tm", "Er"],
  "fractional_positions": [[0.6659, 0.6683, 0.9999], [0.6658, 0.0001, 0.6683], [0.3309, 0.6690, 0.6692], [0.3341, 0.3317, 0.0001], [0.0001, 0.3308, 0.6690], [0.9999, 0.6692, 0.3310], [0.6691, 0.3310, 0.3308], [0.3342, 0.9999, 0.3317], [0.0000, 0.0000, 0.0000]],
  "de_polymorph_kj_per_mol_fu": 0.0,
  "magmom_total_mub_per_atom": 0.00,
  "n_ef_per_ev_atom": 1.514,
  "ef_ev_per_atom": 0.024
}


{
  "formula": "Sm2Er2Tm3",
  "functional": "PBE",
  "state": "relaxed",
  "lattice_angstrom": [[7.8765, 0.0000, -2.7848], [-3.9382, 6.8212, -2.7848], [0.0000, 0.0000, 8.3543]],
  "species": ["Er", "Sm", "Sm", "Sm", "Sm", "Tm", "Tm", "Er", "Tm", "Tm", "Er", "Tm", "Er", "Tm"],
  "fractional_positions": [[0.5000, 0.4107, 0.5000], [0.3109, 0.5000, 0.0000], [0.1891, 0.6891, 0.6891], [0.0000, 0.0000, 0.8109], [0.5000, 0.8109, 0.5000], [0.2500, 0.9415, 0.1915], [0.0585, 0.3085, 0.2500], [0.0000, 0.0000, 0.4107], [0.8085, 0.2500, 0.5585], [0.6915, 0.7500, 0.9415], [0.9107, 0.5000, 0.0000], [0.4415, 0.1915, 0.7500], [0.5893, 0.0893, 0.0893], [0.7500, 0.5585, 0.3085]],
  "de_polymorph_kj_per_mol_fu": 66.9,
  "magmom_total_mub_per_atom": 0.00,
  "n_ef_per_ev_atom": 1.318,
  "ef_ev_per_atom": 0.234
}


{
  "formula": "SmEr7Tm2",
  "functional": "PBE",
  "state": "relaxed",
  "lattice_angstrom": [[5.0817, 1.5100, -0.8493], [2.8460, 7.4114, -3.7736], [-1.2890, 0.0069, 9.2624]],
  "species": ["Er", "Er", "Er", "Er", "Er", "Sm", "Er", "Er", "Tm", "Tm"],
  "fractional_positions": [[0.2484, 0.3623, 0.2210], [0.7516, 0.6377, 0.7790], [0.7515, 0.8592, 0.2212], [0.9994, 0.2011, 0.4009], [0.2485, 0.1408, 0.7788], [0.0000, 0.0000, 0.0000], [0.0006, 0.7989, 0.5991], [0.5000, 0.5000, 0.0000], [0.4996, 0.6999, 0.3986], [0.5004, 0.3001, 0.6014]],
  "de_polymorph_kj_per_mol_fu": 0.0,
  "magmom_total_mub_per_atom": 0.00,
  "n_ef_per_ev_atom": 1.722,
  "ef_ev_per_atom": 0.048
}